1.
# LiMg2Re | the Alexandria database | PBE | relaxed
data_LiMg2Re
_cell_length_a 3.2415
_cell_length_b 4.4428
_cell_length_c 9.5675
_cell_angle_alpha 90.00
_cell_angle_beta 90.00
_cell_angle_gamma 90.00
_space_group_name_H-M_alt 'C m m 2'
_space_group_IT_number 35
loop_
_space_group_symop_operation_xyz
'x,y,z'
'-x,-y,z'
'-x,y,z'
'x,-y,z'
'x+1/2,y+1/2,z'
'-x+1/2,-y+1/2,z'
'-x+1/2,y+1/2,z'
'x+1/2,-y+1/2,z'
loop_
_atom_site_label
_atom_site_type_symbol
_atom_site_fract_x
_atom_site_fract_y
_atom_site_fract_z
Li1 Li 0.0000 0.0000 0.0000
Mg1 Mg 0.0000 0.0000 0.4595
Mg2 Mg 0.0000 0.5000 0.7368
Re1 Re 0.0000 0.5000 0.2264
# Distance to the lowest polymorph of the same formula in eV per atom: 0.0599


2.
# BaBr3 | the Alexandria database | PBE | relaxed
data_BaBr3
_cell_length_a 9.7682
_cell_length_b 9.7682
_cell_length_c 5.4824
_cell_angle_alpha 90.00
_cell_angle_beta 90.00
_cell_angle_gamma 120.00
_space_group_name_H-M_alt 'R -3 m'
_space_group_IT_number 166
_space_group_name_Hall '-R 3 2"'
loop_
_atom_site_label
_atom_site_type_symbol
_atom_site_fract_x
_atom_site_fract_y
_atom_site_fract_z
Ba1 Ba 0.0000 0.0000 0.0000
Br1 Br 0.0000 0.5000 0.0000
# Formation energy from raw total energies in meV per atom: -1318


3.
# AgOsRh | the Alexandria database | PBE | relaxed
data_AgOsRh
_cell_length_a 2.7592
_cell_length_b 2.7592
_cell_length_c 12.1669
_cell_angle_alpha 90.00
_cell_angle_beta 90.00
_cell_angle_gamma 90.00
_space_group_name_H-M_alt 'I 4 m m'
_space_group_IT_number 107
_space_group_name_Hall 'I 4 -2'
loop_
_atom_site_label
_atom_site_type_symbol
_atom_site_fract_x
_atom_site_fract_y
_atom_site_fract_z
Ag1 Ag 0.0000 0.0000 0.0000
Os1 Os 0.0000 0.0000 0.3213
Rh1 Rh 0.0000 0.0000 0.6798
# Distance to the lowest polymorph of the same formula in eV per atom: 0.0411


4.
# Sm6HgPd5 | the Alexandria database | PBE | relaxed
data_Sm6HgPd5
_cell_length_a 7.4933
_cell_length_b 11.8804
_cell_length_c 7.3270
_cell_angle_alpha 90.00
_cell_angle_beta 106.14
_cell_angle_gamma 90.00
_space_group_name_H-M_alt 'C 1 2/m 1'
_space_group_IT_number 12
loop_
_space_group_symop_operation_xyz
'x,y,z'
'-x,-y,-z'
'-x,y,-z'
'x,-y,z'
'x+1/2,y+1/2,z'
'-x+1/2,-y+1/2,-z'
'-x+1/2,y+1/2,-z'
'x+1/2,-y+1/2,z'
loop_
_atom_site_label
_atom_site_type_symbol
_atom_site_fract_x
_atom_site_fract_y
_atom_site_fract_z
Sm1 Sm 0.2078 0.0000 0.2252
Sm2 Sm 0.2234 0.1779 0.7232
Hg1 Hg 0.0000 0.5000 0.0000
Pd1 Pd 0.0000 0.0000 0.5000
Pd2 Pd 0.0000 0.1862 0.0000
Pd3 Pd 0.0000 0.3655 0.5000
# Distance to the lowest polymorph of the same formula in eV per atom: 0.0880


5.
# ZnPt2Au2 | the Alexandria database | PBE | relaxed
data_ZnPt2Au2
_cell_length_a 6.5723
_cell_length_b 6.5723
_cell_length_c 4.0907
_cell_angle_alpha 90.00
_cell_angle_beta 90.00
_cell_angle_gamma 90.00
_space_group_name_H-M_alt 'P 4/m b m'
_space_group_IT_number 127
_space_group_name_Hall '-P 4 2ab'
loop_
_atom_site_label
_atom_site_type_symbol
_atom_site_fract_x
_atom_site_fract_y
_atom_site_fract_z
Zn1 Zn 0.0000 0.0000 0.0000
Pt1 Pt 0.1426 0.3574 0.0000
Au1 Au 0.1629 0.6629 0.5000
# Distance to the lowest polymorph of the same formula in eV per atom: 0.0000


6.
# LiPr2Se3 | the Alexandria database | PBE | relaxed
data_LiPr2Se3
_cell_length_a 4.1910
_cell_length_b 5.9783
_cell_length_c 12.5502
_cell_angle_alpha 90.00
_cell_angle_beta 90.00
_cell_angle_gamma 90.00
_space_group_name_H-M_alt 'I m m m'
_space_group_IT_number 71
_space_group_name_Hall '-I 2 2'
loop_
_atom_site_label
_atom_site_type_symbol
_atom_site_fract_x
_atom_site_fract_y
_atom_site_fract_z
Li1 Li 0.0000 0.0000 0.0000
Pr1 Pr 0.0000 0.0000 0.3331
Se1 Se 0.0000 0.5000 0.0000
Se2 Se 0.0000 0.5000 0.3426
# Distance to the lowest polymorph of the same formula in eV per atom: 0.0000
# Formation energy from raw total energies in meV per atom: -1722


7.
# NiP2Se | the Alexandria database | PBE | relaxed
data_NiP2Se
_cell_length_a 2.6130
_cell_length_b 2.6130
_cell_length_c 10.8431
_cell_angle_alpha 90.00
_cell_angle_beta 90.00
_cell_angle_gamma 90.00
_space_group_name_H-M_alt 'P 4/m m m'
_space_group_IT_number 123
_space_group_name_Hall '-P 4 2'
loop_
_atom_site_label
_atom_site_type_symbol
_atom_site_fract_x
_atom_site_fract_y
_atom_site_fract_z
Ni1 Ni 0.0000 0.0000 0.0000
P1 P 0.5000 0.5000 0.1472
Se1 Se 0.0000 0.0000 0.5000
# Formation energy from raw total energies in meV per atom: 79


8.
# MgTlCu2 | the Alexandria database | PBE | relaxed
data_MgTlCu2
_cell_length_a 9.6836
_cell_length_b 3.5168
_cell_length_c 4.4384
_cell_angle_alpha 90.00
_cell_angle_beta 113.82
_cell_angle_gamma 90.00
_space_group_name_H-M_alt 'C 1 m 1'
_space_group_IT_number 8
loop_
_space_group_symop_operation_xyz
'x,y,z'
'x,-y,z'
'x+1/2,y+1/2,z'
'x+1/2,-y+1/2,z'
loop_
_atom_site_label
_atom_site_type_symbol
_atom_site_fract_x
_atom_site_fract_y
_atom_site_fract_z
Mg1 Mg 0.0000 0.0000 0.0000
Tl1 Tl 0.2243 0.0000 0.7094
Cu1 Cu 0.2648 0.5000 0.2496
Cu2 Cu 0.4708 0.0000 0.4655
# Raw total energy in eV/atom: -2.93


9.
# RbErAg2Br6 | the Alexandria database | PBE | relaxed
data_RbErAg2Br6
_cell_length_a 7.4620
_cell_length_b 7.4620
_cell_length_c 20.5421
_cell_angle_alpha 90.00
_cell_angle_beta 90.00
_cell_angle_gamma 120.00
_space_group_name_H-M_alt 'R 3'
_space_group_IT_number 146
_space_group_name_Hall 'R 3'
loop_
_atom_site_label
_atom_site_type_symbol
_atom_site_fract_x
_atom_site_fract_y
_atom_site_fract_z
Rb1 Rb 0.0000 0.0000 0.0000
Er1 Er 0.0000 0.0000 0.5263
Ag1 Ag 0.0000 0.0000 0.1942
Ag2 Ag 0.0000 0.0000 0.7158
Br1 Br 0.0063 0.3262 0.4548
Br2 Br 0.0955 0.7497 0.2794
# Formation energy from raw total energies in meV per atom: -1211


10.
# HfGa4Ni15 | the Alexandria database | PBE | relaxed
data_HfGa4Ni15
_cell_length_a 3.6219
_cell_length_b 3.6219
_cell_length_c 17.9641
_cell_angle_alpha 90.00
_cell_angle_beta 90.00
_cell_angle_gamma 90.00
_space_group_name_H-M_alt 'P 4/m m m'
_space_group_IT_number 123
_space_group_name_Hall '-P 4 2'
loop_
_atom_site_label
_atom_site_type_symbol
_atom_site_fract_x
_atom_site_fract_y
_atom_site_fract_z
Hf1 Hf 0.0000 0.0000 0.0000
Ga1 Ga 0.0000 0.0000 0.2053
Ga2 Ga 0.0000 0.0000 0.4016
Ni1 Ni 0.0000 0.5000 0.1066
Ni2 Ni 0.0000 0.5000 0.3029
Ni3 Ni 0.0000 0.5000 0.5000
Ni4 Ni 0.5000 0.5000 0.0000
Ni5 Ni 0.5000 0.5000 0.2047
Ni6 Ni 0.5000 0.5000 0.4014
# Raw total energy in eV/atom: -5.77


11.
# KLi2BrCl | the Alexandria database | PBE | relaxed
data_KLi2BrCl
_cell_length_a 4.6901
_cell_length_b 4.6901
_cell_length_c 7.3846
_cell_angle_alpha 90.00
_cell_angle_beta 90.00
_cell_angle_gamma 90.00
_space_group_name_H-M_alt 'P 4/m m m'
_space_group_IT_number 123
_space_group_name_Hall '-P 4 2'
loop_
_atom_site_label
_atom_site_type_symbol
_atom_site_fract_x
_atom_site_fract_y
_atom_site_fract_z
K1 K 0.0000 0.0000 0.0000
Li1 Li 0.0000 0.5000 0.5000
Br1 Br 0.5000 0.5000 0.0000
Cl1 Cl 0.0000 0.0000 0.5000
# Formation energy from raw total energies in meV per atom: -1129


12.
# Tb2TiSe4 | the Alexandria database | PBE | relaxed
data_Tb2TiSe4
_cell_length_a 14.2610
_cell_length_b 3.9902
_cell_length_c 7.1641
_cell_angle_alpha 90.00
_cell_angle_beta 119.74
_cell_angle_gamma 90.00
_space_group_name_H-M_alt 'C 1 2/m 1'
_space_group_IT_number 12
loop_
_space_group_symop_operation_xyz
'x,y,z'
'-x,-y,-z'
'-x,y,-z'
'x,-y,z'
'x+1/2,y+1/2,z'
'-x+1/2,-y+1/2,-z'
'-x+1/2,y+1/2,-z'
'x+1/2,-y+1/2,z'
loop_
_atom_site_label
_atom_site_type_symbol
_atom_site_fract_x
_atom_site_fract_y
_atom_site_fract_z
Tb1 Tb 0.2349 0.0000 0.2239
Ti1 Ti 0.0000 0.5000 0.5000
Se1 Se 0.1101 0.5000 0.9197
Se2 Se 0.1214 0.0000 0.4737
# Formation energy from raw total energies in meV per atom: -1557